This record from the Alexandria database describes an optimized crystal structure of ThPa3. The functional is PBE.

As for the formation energy from the elements: 0.0718 eV per atom. The value obtained for the offset from the most stable computed form is 0.01 eV per formula unit.

It has space group I4/mmm (No. 139), with a = 4.726 Å, b = 4.726 Å, c = 9.523 Å, α = 90.00°, β = 90.00° and γ = 90.00°. The distinct sites, in fractional coordinates, are Th at (0.000, 0.000, 0.000), Pa at (0.000, 0.000, 0.500) and Pa at (0.000, 0.500, 0.250).